[1]
Computed, not measured: a geometry-optimized Mg2Cd2AsPd4 structure at the GGA-PBE level of DFT.

Cell lengths 6.139, 6.139, 6.139 Å; angles 92.55, 118.54, 118.54 degrees
Atoms (fractional coordinates):
Pd (0.454, 0.727, 0.727)
Pd (0.000, 0.273, 0.727)
Pd (0.546, 0.273, 0.273)
Cd (0.500, 0.750, 0.250)
Mg (0.000, 0.704, 0.704)
As (0.000, 0.000, 0.000)
Mg (0.000, 0.296, 0.296)
Pd (0.000, 0.727, 0.273)
Cd (0.500, 0.250, 0.750)

The space group is I4/mmm. For the energy of formation from the pure elements, the calculation gives -0.351 eV per atom. As for the volume: 18.6 A^3/atom. The calculation puts the final energy at -33.60 eV per cell.


[2]
Computed, not measured: a geometry-optimized Li2ZrHg structure at the GGA-PBE level of DFT.

Cell lengths 5.300, 5.300, 5.034 Å; angles 74.65, 74.65, 34.47 degrees
Atoms (fractional coordinates):
Hg (0.266, 0.266, 0.243)
Li (0.991, 0.991, 0.989)
Zr (0.508, 0.508, 0.477)
Li (0.735, 0.735, 0.791)

The space group is Cm. For the energy of formation from the pure elements, the calculation gives 0.042 eV per atom. As for the volume: 19.2 A^3/atom. The calculation puts the final energy at -12.51 eV per cell.


[3]
Computed, not measured: a geometry-optimized TiTcP2Cl structure at the GGA-PBE level of DFT.

Cell lengths 4.776, 4.776, 4.599 Å; angles 90.00, 90.00, 90.00 degrees
Site moments in Bohr magnetons follow the coordinates.
Atoms (fractional coordinates):
P (0.500, 0.000, 0.000)  -0.06
P (0.000, 0.500, 0.000)  -0.06
Cl (0.000, 0.000, 0.500)  0.06
Ti (0.000, 0.000, 0.000)  0.20
Tc (0.500, 0.500, 0.500)  3.66

The space group is P4/mmm. As for the energy relative to the lowest polymorph listed for this composition: 19 meV per atom. As for the volume: 21.0 A^3/atom. The calculation puts the final energy at -28.30 eV per cell.


[4]
Computed, not measured: a geometry-optimized Zn6PdO6 structure at the GGA-PBE level of DFT.

Cell lengths 5.684, 5.684, 5.684 Å; angles 90.00, 90.00, 90.00 degrees
Site moments in Bohr magnetons follow the coordinates.
Atoms (fractional coordinates):
Zn (0.500, 0.000, 0.247)  0.00
O (0.000, 0.500, 0.747)  0.00
Pd (0.000, 0.000, 0.000)  0.19
O (0.000, 0.500, 0.253)  0.00
O (0.500, 0.747, 0.000)  0.00
O (0.747, 0.000, 0.500)  0.00
Zn (0.247, 0.500, 0.000)  0.00
O (0.253, 0.000, 0.500)  0.00
Zn (0.000, 0.247, 0.500)  0.00
Zn (0.753, 0.500, 0.000)  0.00
Zn (0.000, 0.753, 0.500)  0.00
Zn (0.500, 0.000, 0.753)  0.00
O (0.500, 0.253, 0.000)  0.00

The space group is Pm-3. As for the volume: 14.1 A^3/atom. The calculation puts the final energy at -56.66 eV per cell.


[5]
Computed, not measured: a geometry-optimized Ce2H6RuRh structure at the GGA-PBE level of DFT.

Cell lengths 5.260, 5.260, 5.272 Å; angles 60.09, 60.09, 89.89 degrees
Site moments in Bohr magnetons follow the coordinates.
Atoms (fractional coordinates):
H (0.253, 0.747, 0.000)  0.00
Rh (0.000, 0.000, 0.000)  -0.06
H (0.254, 0.254, 0.000)  0.00
Ce (0.750, 0.250, 0.500)  0.94
H (0.255, 0.255, 0.490)  0.00
H (0.746, 0.746, 0.000)  0.00
H (0.747, 0.253, 0.000)  0.00
H (0.745, 0.745, 0.510)  0.00
Ru (0.500, 0.500, 0.000)  -0.12
Ce (0.250, 0.750, 0.500)  0.94

The space group is C2/m. As for the volume: 10.4 A^3/atom. The calculation puts the final energy at -53.36 eV per cell.


[6]
Computed, not measured: a geometry-optimized Np6TiS12 structure at the GGA-PBE level of DFT.

Cell lengths 7.696, 7.696, 7.696 Å; angles 99.18, 99.18, 99.18 degrees
Site moments in Bohr magnetons follow the coordinates.
Atoms (fractional coordinates):
Np (0.701, 0.370, 0.866)  3.64
S (0.066, 0.315, 0.970)  -0.10
S (0.970, 0.066, 0.315)  -0.10
S (0.685, 0.030, 0.934)  -0.10
S (0.823, 0.421, 0.568)  -0.13
Np (0.370, 0.866, 0.701)  3.64
S (0.432, 0.177, 0.579)  -0.13
S (0.315, 0.970, 0.066)  -0.10
Np (0.630, 0.134, 0.299)  3.64
S (0.568, 0.823, 0.421)  -0.13
S (0.030, 0.934, 0.685)  -0.10
Ti (0.000, 0.000, 0.000)  0.52
Np (0.866, 0.701, 0.370)  3.64
S (0.421, 0.568, 0.823)  -0.13
S (0.934, 0.685, 0.030)  -0.10
S (0.579, 0.432, 0.177)  -0.13
Np (0.134, 0.299, 0.630)  3.64
S (0.177, 0.579, 0.432)  -0.13
Np (0.299, 0.630, 0.134)  3.64

The space group is R-3. As for the volume: 23.0 A^3/atom. The calculation puts the final energy at -160.93 eV per cell.